1.
! Li5MnO3F, PBEsol geometry, DFT meta-GGA SCAN; values from VASP
&SYSTEM
  ibrav = 0, nat = 20, ntyp = 4
/
ATOMIC_SPECIES
Li 6.94 Li.upf
O 16.00 O.upf
F 19.00 F.upf
Mn 54.94 Mn.upf
CELL_PARAMETERS angstrom
4.725 0.155 0.163
-1.239 6.329 0.111
-1.239 -0.230 6.325
ATOMIC_POSITIONS angstrom
Li 2.609 2.037 6.022
Li 2.609 5.903 2.358
Li 0.197 2.594 5.350
Li 1.535 0.935 0.987
Li 0.712 5.318 5.613
Li -0.362 0.350 4.241
Li -0.362 4.216 0.578
Li 2.050 1.051 3.721
Li 0.197 5.202 2.879
Li 2.050 3.659 1.250
O 1.703 3.696 5.837
O 0.544 2.557 0.762
O -1.239 2.109 4.109
O 0.544 0.624 2.594
O -1.239 3.990 2.327
O 1.703 5.630 4.005
F 1.123 5.430 1.118
F 1.123 0.824 5.482
Mn -0.327 2.267 2.393
Mn 2.574 3.986 4.207
! energy relative to the elements, uncorrected: -2.22 eV/atom
! space-group type: C2/m, No. 12

2.
! Sc2CuAs2, PBEsol geometry, DFT meta-GGA SCAN; values from VASP
&SYSTEM
  ibrav = 0, nat = 5, ntyp = 3
/
ATOMIC_SPECIES
Cu 63.55 Cu.upf
Sc 44.96 Sc.upf
As 74.92 As.upf
CELL_PARAMETERS angstrom
-1.131 -4.241 2.759
4.732 2.428 0.801
0.732 2.661 4.389
ATOMIC_POSITIONS angstrom
Cu 0.000 0.000 0.000
Sc 2.266 0.819 2.188
Sc 2.067 0.029 5.762
As 3.028 2.043 4.381
As 1.305 -1.195 3.569
! space-group type: I4/mmm, No. 139
! calculated formation energy: -0.63 eV per atom

3.
! Pm3Ho, PBEsol geometry, DFT meta-GGA SCAN; values from VASP
&SYSTEM
  ibrav = 0, nat = 4, ntyp = 2
/
ATOMIC_SPECIES
Pm 145.00 Pm.upf
Ho 164.93 Ho.upf
CELL_PARAMETERS angstrom
-1.065 4.653 -1.502
-2.572 0.774 4.222
5.973 -1.044 0.865
ATOMIC_POSITIONS angstrom
Pm 1.544 3.161 0.361
Pm -1.819 2.713 1.360
Pm 0.791 1.222 3.223
Ho 0.000 0.000 0.000
! space-group type: I4/mmm, No. 139
! calculated formation energy: 0.01 eV per atom